Compound: MnTeP3
Source: Alexandria via LeMat-Bulk
Functional: GGA-PBE
Structure: relaxed

volume = 17.66 Å³ per atom
E_form (uncorrected) = 0.40 eV per atom

Lattice parameters (Å, degrees): 4.453 4.453 4.453 90.00 90.00 90.00
Space group Pm-3m (No. 221)
Asymmetric unit:
Mn: 0.000 0.000 0.000
Te: 0.500 0.500 0.500
P: 0.000 0.000 0.500

Compound: MnTeP
Source: Alexandria via LeMat-Bulk
Functional: GGA-PBE
Structure: relaxed

volume = 16.88 Å³ per atom
E_form (uncorrected) = -0.16 eV per atom

Lattice parameters (Å, degrees): 3.101 5.346 6.109 90.00 90.00 90.00
Space group Pmn2_1 (No. 31)
Asymmetric unit:
Mn: 0.000 0.218 0.000
Te: 0.000 0.424 0.376
P: 0.000 0.047 0.659

Compound: Mn2TeP
Source: Alexandria via LeMat-Bulk
Functional: GGA-PBE
Structure: relaxed

volume = 16.86 Å³ per atom
E_form (uncorrected) = 0.15 eV per atom

Lattice parameters (Å, degrees): 3.716 5.249 6.914 90.00 90.00 90.00
Space group Immm (No. 71)
Asymmetric unit:
Mn: 0.000 0.000 0.189
Te: 0.000 0.500 0.000
P: 0.000 0.500 0.500

- Look up the volume of the first one.
  17.66 Å³ per atom

- E_form (uncorrected) of number 2 (MnTeP)?
  -0.16 eV per atom